Record 1
First-principles (PBE) data for crystalline Te4Rh2Br at its relaxed geometry, as listed in Alexandria via LeMat-Bulk.

Values from the calculation:
Space-group type ... No. 15
E_form (uncorrected) ... -7.2 kcal/mol of atoms
Crystal system ... monoclinic

Unit cell a=8.6652 b=8.6651 c=7.3856 alpha=114.92 beta=114.88 gamma=106.40
Closest atoms and distances in Å follow each position.
Element x y z (fractional)
Te  0.8143  0.6704  0.2397  3 Rh 2.67-2.73
Te  0.8193  0.1754  0.7396  3 Rh 2.67-2.73
Te  0.9205  0.5644  0.7398  3 Rh 2.67-2.73
Te  0.4357  0.0796  0.2604  3 Rh 2.67-2.73
Te  0.3295  0.1857  0.7602  3 Rh 2.67-2.73
Te  0.8246  0.1807  0.2602  3 Rh 2.67-2.73
Te  0.4254  0.5692  0.2398  3 Rh 2.67-2.73
Te  0.4307  0.5746  0.7603  3 Rh 2.67-2.73
Rh  0.6250  0.8750  0.2500  6 Te 2.67-2.73
Rh  0.1249  0.3750  0.7500  6 Te 2.67-2.73
Rh  0.6250  0.3750  0.7500  6 Te 2.67-2.73
Rh  0.6250  0.3750  0.2500  6 Te 2.67-2.73
Br  0.2494  0.7494  0.5000  4 Te 3.12
Br  0.0006  0.0006  0.0000  4 Te 3.12


Record 2
First-principles (PBE) data for crystalline TeRh4Br at its relaxed geometry, as listed in Alexandria via LeMat-Bulk.

Values from the calculation:
Space-group type ... No. 216
E_form (uncorrected) ... 14.1 kcal/mol of atoms
Crystal system ... cubic

Unit cell a=5.3266 b=5.3266 c=5.3266 alpha=60.00 beta=60.00 gamma=60.00
Closest atoms and distances in Å follow each position.
Element x y z (fractional)
Te  0.7500  0.7500  0.7500  12 Rh 3.12, 4 Br 3.26
Rh  0.3755  0.3755  0.8734  6 Rh 2.65-2.67
Rh  0.3755  0.8734  0.3755  6 Rh 2.65-2.67
Rh  0.3755  0.3755  0.3755  6 Rh 2.65-2.67
Rh  0.8734  0.3755  0.3755  6 Rh 2.65-2.67
Br  0.0000  0.0000  0.0000  12 Rh 3.12, 4 Te 3.26


Record 3
First-principles (PBE) data for crystalline TeRhBr at its relaxed geometry, as listed in Alexandria via LeMat-Bulk.

Values from the calculation:
Space-group type ... No. 42
E_form (uncorrected) ... -1.0 kcal/mol of atoms
Crystal system ... orthorhombic

Unit cell a=6.7748 b=6.7776 c=3.3197 alpha=75.77 beta=75.87 gamma=28.36
Closest atoms and distances in Å follow each position.
Element x y z (fractional)
Rh  0.3212  0.3212  0.6788  4 Te 2.72-2.73, 4 Br 2.98-2.99
Br  0.9664  0.9664  0.0336  4 Rh 2.98-2.99, 1 Te 3.23, 4 Br 3.32
Te  0.7124  0.7124  0.2876  4 Rh 2.72-2.73


Record 4
First-principles (PBE) data for crystalline Te4RhBr at its relaxed geometry, as listed in Alexandria via LeMat-Bulk.

Values from the calculation:
Space-group type ... No. 216
E_form (uncorrected) ... 16.6 kcal/mol of atoms
Crystal system ... cubic

Unit cell a=6.2134 b=6.2134 c=6.2134 alpha=60.00 beta=60.00 gamma=60.00
Closest atoms and distances in Å follow each position.
Element x y z (fractional)
Br  0.7500  0.7500  0.7500  12 Te 3.64, 4 Rh 3.80
Te  0.8753  0.3749  0.3749  6 Te 3.10-3.11
Te  0.3749  0.3749  0.3749  6 Te 3.10-3.11
Te  0.3749  0.8753  0.3749  6 Te 3.10-3.11
Te  0.3749  0.3749  0.8753  6 Te 3.10-3.11
Rh  0.0000  0.0000  0.0000  12 Te 3.64, 4 Br 3.80


Record 5
First-principles (PBE) data for crystalline TeRhBr at its relaxed geometry, as listed in Alexandria via LeMat-Bulk.

Values from the calculation:
Space-group type ... No. 11
E_form (uncorrected) ... -9.9 kcal/mol of atoms
Crystal system ... monoclinic

Unit cell a=3.8521 b=5.2653 c=8.3722 alpha=90.10 beta=90.00 gamma=90.00
Closest atoms and distances in Å follow each position.
Element x y z (fractional)
Br  0.2500  0.7495  0.1483  2 Rh 2.59
Br  0.7500  0.2505  0.8517  2 Rh 2.59
Te  0.7499  0.2498  0.4353  4 Rh 2.60-2.72
Te  0.2501  0.7502  0.5647  4 Rh 2.60-2.72
Rh  0.2500  0.2503  0.6445  2 Br 2.59, 4 Te 2.60-2.72
Rh  0.7500  0.7497  0.3555  2 Br 2.59, 4 Te 2.60-2.72


Record 6
First-principles (PBE) data for crystalline TeRh2Br2 at its relaxed geometry, as listed in Alexandria via LeMat-Bulk.

Values from the calculation:
Space-group type ... No. 127
E_form (uncorrected) ... 4.7 kcal/mol of atoms
Crystal system ... tetragonal

Unit cell a=7.2503 b=7.2503 c=4.8205 alpha=90.00 beta=90.00 gamma=90.00
Closest atoms and distances in Å follow each position.
Element x y z (fractional)
Br  0.8421  0.3421  0.5000  2 Rh 2.50
Br  0.6579  0.8421  0.5000  2 Rh 2.50
Br  0.1579  0.6579  0.5000  2 Rh 2.50
Br  0.3421  0.1579  0.5000  2 Rh 2.50
Rh  0.2215  0.7215  0.0000  2 Br 2.50, 2 Te 2.58
Rh  0.7785  0.2785  0.0000  2 Br 2.50, 2 Te 2.58
Rh  0.7215  0.7785  0.0000  2 Br 2.50, 2 Te 2.58
Rh  0.2785  0.2215  0.0000  2 Br 2.50, 2 Te 2.58
Te  0.0000  0.0000  0.0000  4 Rh 2.58
Te  0.5000  0.5000  0.0000  4 Rh 2.58


> Among the records above, which one has the lowest E_form (uncorrected)?

number 5